1.
Li2FeOF3 | the Alexandria database | PBE with a Hubbard U | optimized geometry; ΔE to the lowest computed polymorph = 0.0000 eV/atom; spin magnetization = 20.0 μB/cell; calculated volume = 304.71 Å³ per cell; crystal system = tetragonal; SG = P4_1
1.0
-2.830 -5.217 0.635
4.682 -2.176 2.994
-3.419 2.748 7.343
Li Fe O F
8 4 4 12
direct
0.237 0.257 0.372 Li
0.257 0.763 0.122 Li
0.743 0.237 0.622 Li
0.763 0.743 0.872 Li
0.257 0.502 0.747 Li
0.498 0.257 0.997 Li
0.502 0.743 0.497 Li
0.743 0.498 0.247 Li
0.249 0.984 0.766 Fe
0.751 0.016 0.266 Fe
0.016 0.249 0.016 Fe
0.984 0.751 0.516 Fe
0.025 0.757 0.736 O
0.243 0.025 0.986 O
0.757 0.975 0.486 O
0.975 0.243 0.236 O
0.013 0.247 0.763 F
0.247 0.987 0.513 F
0.753 0.013 0.013 F
0.987 0.753 0.263 F
0.245 0.491 0.994 F
0.491 0.755 0.744 F
0.509 0.245 0.244 F
0.755 0.509 0.494 F
0.241 0.528 0.497 F
0.472 0.241 0.747 F
0.528 0.759 0.247 F
0.759 0.472 0.997 F

---

2.
Li3Fe3O4F4 | the Alexandria database | PBE with a Hubbard U | optimized geometry; spin magnetization = 15.0 μB/cell; calculated volume = 150.51 Å³ per cell; crystal system = monoclinic; SG = Pm; final energy = -79.9 eV per cell
1.0
3.035 0.000 0.000
0.000 5.052 -0.022
0.000 0.048 9.814
Li Fe O F
3 3 4 4
direct
0.000 0.029 0.843 Li
0.000 0.576 0.015 Li
0.500 0.059 0.470 Li
0.000 0.507 0.361 Fe
0.500 0.487 0.631 Fe
0.500 0.998 0.156 Fe
0.000 0.769 0.202 O
0.500 0.693 0.459 O
0.500 0.266 0.293 O
0.000 0.283 0.546 O
0.500 0.791 0.967 F
0.000 0.709 0.719 F
0.000 0.207 0.045 F
0.500 0.251 0.793 F

---

3.
LiFe2OF3 | the Alexandria database | PBE with a Hubbard U | optimized geometry; ΔE to the lowest computed polymorph = 0.0170 eV/atom; spin magnetization = 32.0 μB/cell; calculated volume = 329.71 Å³ per cell; crystal system = orthorhombic; SG = Pnma
1.0
4.994 0.000 0.000
0.000 6.147 0.000
0.000 0.000 10.740
Li Fe O F
4 8 4 12
direct
0.448 0.750 0.410 Li
0.052 0.750 0.910 Li
0.948 0.250 0.090 Li
0.552 0.250 0.590 Li
0.500 0.000 0.000 Fe
0.500 0.500 0.000 Fe
0.550 0.250 0.287 Fe
0.950 0.250 0.787 Fe
0.000 0.500 0.500 Fe
0.000 0.000 0.500 Fe
0.050 0.750 0.213 Fe
0.450 0.750 0.713 Fe
0.229 0.750 0.561 O
0.271 0.750 0.061 O
0.729 0.250 0.939 O
0.771 0.250 0.439 O
0.273 0.989 0.333 F
0.273 0.511 0.333 F
0.314 0.250 0.118 F
0.186 0.250 0.618 F
0.227 0.989 0.833 F
0.227 0.511 0.833 F
0.773 0.489 0.167 F
0.773 0.011 0.167 F
0.814 0.750 0.382 F
0.686 0.750 0.882 F
0.727 0.489 0.667 F
0.727 0.011 0.667 F

---

4.
LiFe2OF3 | the Alexandria database | PBE with a Hubbard U | optimized geometry; ΔE to the lowest computed polymorph = 0.0150 eV/atom; spin magnetization = 16.0 μB/cell; calculated volume = 170.03 Å³ per cell; crystal system = trigonal; SG = R-3m
1.0
-1.237 -3.186 -5.160
-2.486 -5.655 0.376
-5.935 -0.893 -1.737
Li Fe O F
2 4 2 6
direct
0.645 0.645 0.064 Li
0.355 0.355 0.936 Li
0.000 0.500 0.500 Fe
0.000 0.000 0.500 Fe
0.500 0.000 0.500 Fe
0.000 0.000 0.000 Fe
0.776 0.776 0.672 O
0.224 0.224 0.328 O
0.746 0.239 0.776 F
0.761 0.254 0.224 F
0.239 0.239 0.776 F
0.254 0.761 0.224 F
0.761 0.761 0.224 F
0.239 0.746 0.776 F